Here is CuAsPt2W at its PBEsol-relaxed geometry from Alexandria via LeMat-Bulk. Energies are from meta-GGA SCAN.

a b c (Å): 4.519 4.519 4.442
angles (deg): 90.00 90.00 90.00
Space group P4/mmm (No. 123)
Inequivalent atoms, fractional coordinates:
1 Cu 0.000 0.000 0.000 [1 per cell]
2 As 0.500 0.500 0.500 [1 per cell]
3 Pt 0.000 0.500 0.000 [2 per cell]
4 W 0.000 0.000 0.500 [1 per cell]

Computed properties:
total magnetic moment: 1.3 μB/f.u.
formation energy from the elements: 1433 meV/atom

---

Here is Ba2GaAg2 at its PBEsol-relaxed geometry from Alexandria via LeMat-Bulk. Energies are from meta-GGA SCAN.

a b c (Å): 3.896 3.896 19.559
angles (deg): 90.00 90.00 90.00
Space group I4/mmm (No. 139)
Inequivalent atoms, fractional coordinates:
1 Ba 0.000 0.000 0.105 [4 per cell]
2 Ga 0.000 0.000 0.500 [2 per cell]
3 Ag 0.000 0.500 0.250 [4 per cell]

Computed properties:
total magnetic moment: 0.0 μB/f.u.
formation energy from the elements: -181 meV/atom

---

Here is Tm3SbO7 at its PBEsol-relaxed geometry from Alexandria via LeMat-Bulk. Energies are from meta-GGA SCAN.

a b c (Å): 7.297 10.313 7.349
angles (deg): 90.00 90.00 90.00
Space group C222_1 (No. 20)
Inequivalent atoms, fractional coordinates:
1 Tm 0.001 0.000 0.000 [4 per cell]
2 Tm 0.234 0.266 0.750 [8 per cell]
3 Sb 0.000 0.500 0.000 [4 per cell]
4 O 0.000 0.131 0.250 [4 per cell]
5 O 0.000 0.137 0.750 [4 per cell]
6 O 0.000 0.425 0.750 [4 per cell]
7 O 0.201 0.374 0.031 [8 per cell]
8 O 0.202 0.374 0.469 [8 per cell]

Computed properties:
total magnetic moment: 0.0 μB/f.u.
raw formation energy: -3.3204 eV/atom